(1)
The following is a DFT calculation (PBE) of a relaxed structure of AlSiP2.

Values from the calculation:
ΔE_f (raw) ... 0.392 eV per atom
Calculated volume ... 16.725 Å³/atom
Symmetry ... No. 99

Unit cell a=2.787 b=2.787 c=8.616 alpha=90.00 beta=90.00 gamma=90.00
Atoms (fractional coordinates):
P: 0.000 0.000 0.939
Si: 0.000 0.000 0.507
Al: 0.500 0.500 0.728
P: 0.500 0.500 0.326



(2)
The following is a DFT calculation (PBE) of a relaxed structure of AlSiP.

Values from the calculation:
ΔE_f (raw) ... 0.021 eV per atom
Calculated volume ... 16.689 Å³/atom
Symmetry ... No. 36

Unit cell a=3.490 b=3.489 c=28.491 alpha=90.00 beta=90.00 gamma=120.01
Atoms (fractional coordinates):
Al: 0.333 0.666 0.613
P: 0.000 0.000 0.998
Si: 0.334 0.668 0.218
P: 0.000 0.999 0.673
Al: 0.667 0.335 0.385
Si: 0.333 0.667 0.052
Al: 0.333 0.665 0.784
P: 0.999 0.999 0.834
Si: 0.667 0.333 0.552
Al: 0.667 0.334 0.113
Si: 0.666 0.333 0.950
Al: 0.333 0.665 0.885
P: 0.000 0.001 0.173
Si: 0.334 0.667 0.450
Al: 0.667 0.335 0.284
P: 0.001 0.001 0.334
P: 0.000 0.000 0.498
Si: 0.666 0.332 0.718



(3)
The following is a DFT calculation (PBE) of a relaxed structure of AlSi2P.

Values from the calculation:
ΔE_f (raw) ... 0.122 eV per atom
Calculated volume ... 16.482 Å³/atom
Symmetry ... No. 12

Unit cell a=5.683 b=5.683 c=3.544 alpha=102.50 beta=102.50 gamma=36.27
Atoms (fractional coordinates):
Si: 0.015 0.015 0.008
Si: 0.485 0.485 0.492
P: 0.250 0.250 0.250
Al: 0.750 0.750 0.750



(4)
The following is a DFT calculation (PBE) of a relaxed structure of AlSi2P.

Values from the calculation:
ΔE_f (raw) ... 0.193 eV per atom
Calculated volume ... 16.553 Å³/atom
Symmetry ... No. 166

Unit cell a=6.817 b=6.817 c=6.817 alpha=29.08 beta=29.08 gamma=29.08
Atoms (fractional coordinates):
P: 0.750 0.750 0.750
Si: 0.010 0.010 0.010
Si: 0.490 0.490 0.490
Al: 0.250 0.250 0.250



(5)
The following is a DFT calculation (PBE) of a relaxed structure of AlSi2P.

Values from the calculation:
ΔE_f (raw) ... 0.430 eV per atom
Calculated volume ... 15.241 Å³/atom
Symmetry ... No. 65

Unit cell a=2.849 b=2.849 c=8.202 alpha=90.00 beta=90.00 gamma=113.72
Atoms (fractional coordinates):
Si: 0.000 0.000 0.517
Al: 0.500 0.500 0.250
P: 0.500 0.500 0.750
Si: 0.000 0.000 0.983



(6)
The following is a DFT calculation (PBE) of a relaxed structure of AlSiP.

Values from the calculation:
ΔE_f (raw) ... 0.134 eV per atom
Calculated volume ... 16.413 Å³/atom
Symmetry ... No. 187

Unit cell a=3.381 b=3.381 c=9.948 alpha=90.00 beta=90.00 gamma=120.00
Atoms (fractional coordinates):
Al: 0.278 0.555 0.819
Al: 0.278 0.555 0.181
P: 0.611 0.222 0.656
P: 0.611 0.222 0.344
Si: 0.611 0.223 0.000
Si: 0.278 0.556 0.500



(7)
The following is a DFT calculation (PBE) of a relaxed structure of AlSiP.

Values from the calculation:
ΔE_f (raw) ... 0.480 eV per atom
Calculated volume ... 15.762 Å³/atom
Symmetry ... No. 187

Unit cell a=4.483 b=4.483 c=2.717 alpha=90.00 beta=90.00 gamma=120.00
Atoms (fractional coordinates):
Si: 0.667 0.333 0.500
P: 0.000 0.000 0.000
Al: 0.333 0.667 0.500



(8)
The following is a DFT calculation (PBE) of a relaxed structure of AlSiP2.

Values from the calculation:
ΔE_f (raw) ... 0.013 eV per atom
Calculated volume ... 16.642 Å³/atom
Symmetry ... No. 38

Unit cell a=6.196 b=6.196 c=3.445 alpha=90.00 beta=90.00 gamma=30.23
Atoms (fractional coordinates):
Al: 0.226 0.226 0.125
P: 0.027 0.027 0.125
P: 0.793 0.793 0.625
Si: 0.455 0.455 0.625



(9)
The following is a DFT calculation (PBE) of a relaxed structure of AlSi2P.

Values from the calculation:
ΔE_f (raw) ... 0.215 eV per atom
Calculated volume ... 17.686 Å³/atom
Symmetry ... No. 12

Unit cell a=3.988 b=3.988 c=11.162 alpha=84.06 beta=84.06 gamma=53.37
Atoms (fractional coordinates):
Si: 0.386 0.386 0.325
Si: 0.708 0.708 0.071
P: 0.029 0.029 0.821
Al: 0.329 0.329 0.571
Si: 0.292 0.292 0.929
Si: 0.614 0.614 0.675
P: 0.971 0.971 0.179
Al: 0.671 0.671 0.429



(10)
The following is a DFT calculation (PBE) of a relaxed structure of Al2SiP.

Values from the calculation:
ΔE_f (raw) ... 0.217 eV per atom
Calculated volume ... 16.056 Å³/atom
Symmetry ... No. 71

Unit cell a=4.831 b=4.831 c=4.831 alpha=138.12 beta=118.87 gamma=76.86
Atoms (fractional coordinates):
P: 0.750 0.250 0.500
Si: 0.250 0.750 0.500
Al: 0.512 0.512 0.000
Al: 0.988 0.988 0.000



(11)
The following is a DFT calculation (PBE) of a relaxed structure of AlSiP.

Values from the calculation:
ΔE_f (raw) ... 0.027 eV per atom
Calculated volume ... 16.685 Å³/atom
Symmetry ... No. 156

Unit cell a=3.489 b=3.488 c=23.748 alpha=90.00 beta=90.00 gamma=120.00
Atoms (fractional coordinates):
Si: 0.667 0.334 0.540
P: 0.000 0.000 0.001
Al: 0.333 0.666 0.261
P: 0.000 0.000 0.800
P: 0.000 0.000 0.602
Si: 0.667 0.333 0.340
Si: 0.333 0.667 0.939
Si: 0.334 0.667 0.662
Al: 0.333 0.667 0.465
Si: 0.667 0.333 0.061
Al: 0.667 0.334 0.739
P: 0.000 0.999 0.200
Al: 0.667 0.334 0.861
P: 0.000 0.000 0.395
Al: 0.333 0.666 0.139



(12)
The following is a DFT calculation (PBE) of a relaxed structure of AlSi2P2.

Values from the calculation:
ΔE_f (raw) ... 0.251 eV per atom
Calculated volume ... 18.642 Å³/atom
Symmetry ... No. 127

Unit cell a=7.326 b=7.326 c=3.473 alpha=90.00 beta=90.00 gamma=90.00
Atoms (fractional coordinates):
P: 0.243 0.257 0.000
Si: 0.109 0.391 0.500
P: 0.757 0.743 0.000
Al: 0.000 0.000 0.000
Si: 0.391 0.891 0.500
Al: 0.500 0.500 0.000
Si: 0.891 0.609 0.500
P: 0.743 0.243 0.000
Si: 0.609 0.109 0.500
P: 0.257 0.757 0.000



(13)
The following is a DFT calculation (PBE) of a relaxed structure of Al2SiP.

Values from the calculation:
ΔE_f (raw) ... 0.118 eV per atom
Calculated volume ... 15.625 Å³/atom
Symmetry ... No. 44

Unit cell a=5.237 b=5.237 c=5.237 alpha=144.38 beta=130.94 gamma=62.08
Atoms (fractional coordinates):
P: 0.479 0.479 0.000
Al: 0.014 0.014 0.000
Al: 0.725 0.225 0.500
Si: 0.282 0.782 0.500



(14)
The following is a DFT calculation (PBE) of a relaxed structure of Al2SiP.

Values from the calculation:
ΔE_f (raw) ... 0.230 eV per atom
Calculated volume ... 15.515 Å³/atom
Symmetry ... No. 225

Unit cell a=4.444 b=4.444 c=4.444 alpha=60.00 beta=60.00 gamma=60.00
Atoms (fractional coordinates):
Si: 0.000 0.000 0.000
Al: 0.250 0.250 0.250
Al: 0.750 0.750 0.750
P: 0.500 0.500 0.500



(15)
The following is a DFT calculation (PBE) of a relaxed structure of AlSiP2.

Values from the calculation:
ΔE_f (raw) ... -0.167 eV per atom
Calculated volume ... 16.934 Å³/atom
Symmetry ... No. 99

Unit cell a=3.440 b=3.440 c=5.725 alpha=90.00 beta=90.00 gamma=90.00
Atoms (fractional coordinates):
P: 0.000 0.000 0.821
P: 0.500 0.500 0.339
Si: 0.000 0.000 0.424
Al: 0.500 0.500 0.916



(16)
The following is a DFT calculation (PBE) of a relaxed structure of AlSiP2.

Values from the calculation:
ΔE_f (raw) ... 0.135 eV per atom
Calculated volume ... 15.950 Å³/atom
Symmetry ... No. 44

Unit cell a=6.327 b=6.327 c=6.327 alpha=150.10 beta=149.55 gamma=43.20
Atoms (fractional coordinates):
Si: 0.546 0.546 0.000
P: 0.702 0.202 0.500
P: 0.960 0.960 0.000
Al: 0.291 0.791 0.500



(17)
The following is a DFT calculation (PBE) of a relaxed structure of Al2SiP.

Values from the calculation:
ΔE_f (raw) ... 0.086 eV per atom
Calculated volume ... 17.141 Å³/atom
Symmetry ... No. 160

Unit cell a=7.063 b=7.063 c=7.063 alpha=28.00 beta=28.00 gamma=28.00
Atoms (fractional coordinates):
Al: 0.004 0.004 0.004
Al: 0.241 0.241 0.241
Si: 0.761 0.761 0.761
P: 0.493 0.493 0.493



(18)
The following is a DFT calculation (PBE) of a relaxed structure of AlSiP2.

Values from the calculation:
ΔE_f (raw) ... 0.326 eV per atom
Calculated volume ... 14.703 Å³/atom
Symmetry ... No. 65

Unit cell a=4.287 b=4.287 c=3.242 alpha=90.00 beta=90.00 gamma=80.82
Atoms (fractional coordinates):
Si: 0.500 0.000 0.500
P: 0.500 0.500 0.000
Al: 0.000 0.500 0.500
P: 0.000 0.000 0.000



(19)
The following is a DFT calculation (PBE) of a relaxed structure of AlSiP.

Values from the calculation:
ΔE_f (raw) ... -0.358 eV per atom
Calculated volume ... 20.818 Å³/atom
Symmetry ... No. 156

Unit cell a=3.881 b=3.881 c=9.574 alpha=90.00 beta=90.00 gamma=120.00
Atoms (fractional coordinates):
Si: 0.333 0.667 0.627
Al: 0.000 0.000 0.953
P: 0.333 0.667 0.868
P: 0.000 0.000 0.200
Al: 0.667 0.333 0.286
Si: 0.667 0.333 0.546



(20)
The following is a DFT calculation (PBE) of a relaxed structure of Al2SiP.

Values from the calculation:
ΔE_f (raw) ... 0.352 eV per atom
Calculated volume ... 15.749 Å³/atom
Symmetry ... No. 216

Unit cell a=4.466 b=4.466 c=4.466 alpha=60.00 beta=60.00 gamma=60.00
Atoms (fractional coordinates):
P: 0.500 0.500 0.500
Al: 0.000 0.000 0.000
Si: 0.750 0.750 0.750
Al: 0.250 0.250 0.250



(21)
The following is a DFT calculation (PBE) of a relaxed structure of AlSiP2.

Values from the calculation:
ΔE_f (raw) ... 0.077 eV per atom
Calculated volume ... 16.241 Å³/atom
Symmetry ... No. 139

Unit cell a=4.391 b=4.387 c=4.382 alpha=70.09 beta=71.49 gamma=110.00
Atoms (fractional coordinates):
Si: 0.000 0.500 0.500
P: 0.000 0.000 0.000
Al: 0.500 0.500 0.000
P: 0.500 0.000 0.500



(22)
The following is a DFT calculation (PBE) of a relaxed structure of AlSi2P.

Values from the calculation:
ΔE_f (raw) ... 0.314 eV per atom
Calculated volume ... 15.187 Å³/atom
Symmetry ... No. 5

Unit cell a=5.104 b=5.104 c=5.157 alpha=143.70 beta=129.70 gamma=62.62
Atoms (fractional coordinates):
Si: 0.778 0.278 0.500
Al: 0.485 0.485 0.000
P: 0.220 0.720 0.500
Si: 0.017 0.017 0.000



(23)
The following is a DFT calculation (PBE) of a relaxed structure of Al2SiP2.

Values from the calculation:
ΔE_f (raw) ... -0.014 eV per atom
Calculated volume ... 16.818 Å³/atom
Symmetry ... No. 164

Unit cell a=3.479 b=3.479 c=8.022 alpha=90.00 beta=90.00 gamma=120.00
Atoms (fractional coordinates):
P: 0.667 0.333 0.174
Si: 0.000 0.000 0.000
Al: 0.667 0.333 0.632
Al: 0.333 0.667 0.368
P: 0.333 0.667 0.826



(24)
The following is a DFT calculation (PBE) of a relaxed structure of AlSiP2.

Values from the calculation:
ΔE_f (raw) ... 0.371 eV per atom
Calculated volume ... 17.263 Å³/atom
Symmetry ... No. 35

Unit cell a=2.852 b=2.852 c=8.714 alpha=90.00 beta=90.00 gamma=103.08
Atoms (fractional coordinates):
P: 0.500 0.500 0.326
Si: 0.000 0.000 0.501
P: 0.000 0.000 0.940
Al: 0.500 0.500 0.734



(25)
The following is a DFT calculation (PBE) of a relaxed structure of AlSiP.

Values from the calculation:
ΔE_f (raw) ... -0.129 eV per atom
Calculated volume ... 21.019 Å³/atom
Symmetry ... No. 5

Unit cell a=3.855 b=15.282 c=4.411 alpha=90.00 beta=103.95 gamma=90.00
Atoms (fractional coordinates):
P: 0.000 0.876 0.500
Al: 0.000 0.798 0.000
Al: 0.000 0.298 0.500
P: 0.500 0.208 0.500
Si: 0.295 0.596 0.651
P: 0.500 0.708 0.000
Al: 0.500 0.970 0.500
P: 0.000 0.376 0.000
Si: 0.705 0.596 0.349
Si: 0.705 0.096 0.849
Si: 0.295 0.096 0.151
Al: 0.500 0.470 0.000



(26)
The following is a DFT calculation (PBE) of a relaxed structure of Al2SiP2.

Values from the calculation:
ΔE_f (raw) ... 0.047 eV per atom
Calculated volume ... 17.027 Å³/atom
Symmetry ... No. 12

Unit cell a=4.171 b=4.171 c=5.203 alpha=89.79 beta=89.79 gamma=70.16
Atoms (fractional coordinates):
P: 0.309 0.309 0.245
P: 0.691 0.691 0.755
Al: 0.326 0.326 0.728
Si: 0.000 0.000 0.000
Al: 0.674 0.674 0.272



(27)
The following is a DFT calculation (PBE) of a relaxed structure of Al2SiP.

Values from the calculation:
ΔE_f (raw) ... 0.284 eV per atom
Calculated volume ... 15.274 Å³/atom
Symmetry ... No. 166

Unit cell a=8.535 b=8.535 c=8.535 alpha=19.59 beta=19.59 gamma=19.59
Atoms (fractional coordinates):
Al: 0.501 0.501 0.501
P: 0.250 0.250 0.250
Al: 0.999 0.999 0.999
Si: 0.750 0.750 0.750